(1)
# ScNbW3

ScNbW3 after structural relaxation (PBE-GGA, the Alexandria database).

Values from the calculation:
- E_form (eV/atom) = 2.24
- theoretical density (g cm⁻³) = 11.87
- total magnetization (μB per formula unit) = 0.0
- total DFT energy (no corrections) (eV per atom) = -8.8100
- V (Å³ per cell) = 96.48
- polymorph energy (0 for the lowest one) (kJ/mol of formula units) = 201.3

Cell lengths 4.586, 4.586, 4.586 Å; angles 90.00, 90.00, 90.00 degrees
Space group Pm-3m (No. 221)
Symmetry-distinct sites (fractional):
Sc  0.000  0.000  0.000 [1 per cell]
Nb  0.500  0.500  0.500 [1 per cell]
W  0.000  0.000  0.500 [3 per cell]

=====

(2)
# Dy3Ho3CuTc2

Dy3Ho3CuTc2 after structural relaxation (PBE-GGA, the Alexandria database).

Values from the calculation:
- E_form (eV/atom) = -0.02
- theoretical density (g cm⁻³) = 9.60
- total magnetization (μB per formula unit) = 0.0
- total DFT energy (no corrections) (eV per atom) = -5.8391
- V (Å³ per cell) = 214.88

Cell lengths 8.0022, 8.0022, 3.8747 Å; angles 90.00, 90.00, 120.00 degrees
Space group P-62m (No. 189)
Symmetry-distinct sites (fractional):
Dy  0.0000  0.7368  0.0000 [3 per cell]
Ho  0.0000  0.4080  0.5000 [3 per cell]
Cu  0.0000  0.0000  0.5000 [1 per cell]
Tc  0.3333  0.6667  0.0000 [2 per cell]

=====

(3)
# TbPmPa

TbPmPa after structural relaxation (PBE-GGA, the Alexandria database).

Values from the calculation:
- E_form (eV/atom) = 0.15
- theoretical density (g cm⁻³) = 9.94
- total magnetization (μB per formula unit) = 0.0
- total DFT energy (no corrections) (eV per atom) = -6.1424
- V (Å³ per cell) = 89.34
- polymorph energy (0 for the lowest one) (kJ/mol of formula units) = 0.0

Cell lengths 3.4514, 3.4514, 8.6606 Å; angles 90.00, 90.00, 120.00 degrees
Space group P3m1 (No. 156)
Symmetry-distinct sites (fractional):
Tb  0.0000  0.0000  0.0000 [1 per cell]
Pm  0.6667  0.3333  0.3653 [1 per cell]
Pa  0.3333  0.6667  0.6858 [1 per cell]